A plane-wave DFT calculation with GGA-PBE was carried out for YBIO2 after structural relaxation.

```
YBIO2
1.0
-0.719 -1.416 -3.802
0.579 -3.857 1.327
-4.276 -0.323 0.929
O Y I B
2 1 1 1
Cartesian
0.290 -1.929 0.664
-0.359 -0.708 -1.901
-2.207 -2.798 -0.773
-2.138 -0.161 0.464
0.000 0.000 0.000
```

Values from the calculation:
- Energy above the most stable polymorph in this dataset: 0.641 eV/f.u.
- Raw total energy: -5.1823 eV/atom
- Raw formation energy: -0.26 eV per atom
- Symmetry: No. 123


A plane-wave DFT calculation with GGA-PBE was carried out for PmNdSi3 after structural relaxation.

```
PmNdSi3
1.0
4.013 0.000 0.000
0.000 4.255 -0.814
0.000 0.211 12.639
Nd Pm Si
2 2 6
Cartesian
3.010 4.143 10.133
1.003 0.323 1.692
1.003 3.522 6.884
3.010 0.945 4.941
3.010 2.683 2.500
1.003 2.949 3.891
1.003 1.783 9.325
3.010 2.243 0.195
3.010 1.517 7.934
1.003 2.224 11.630
```

Values from the calculation:
- Energy above the most stable polymorph in this dataset: 0.000 eV/f.u.
- Raw total energy: -5.8500 eV/atom
- Raw formation energy: -0.69 eV per atom
- Symmetry: No. 63


A plane-wave DFT calculation with GGA-PBE was carried out for LiSb2Pt after structural relaxation.

```
LiSb2Pt
1.0
-4.986 2.075 -7.127
-1.740 -8.673 -1.307
-5.346 -3.118 -2.777
Pt Sb Li
2 4 2
Cartesian
-6.848 -2.171 -7.060
0.000 0.000 0.000
-10.080 -9.032 -9.601
-6.347 -3.892 -5.107
-2.518 -6.161 -1.646
-5.200 -0.347 -6.068
-3.363 -3.299 -4.217
-5.225 -7.545 -4.151
```

Values from the calculation:
- Energy above the most stable polymorph in this dataset: 0.763 eV/f.u.
- Raw total energy: -4.3980 eV/atom
- Raw formation energy: -0.35 eV per atom
- Symmetry: No. 122


A plane-wave DFT calculation with GGA-PBE was carried out for LaPrMgAg after structural relaxation.

```
LaPrMgAg
1.0
3.905 0.000 0.000
0.000 3.905 0.000
0.000 0.000 7.571
Pr La Ag Mg
1 1 1 1
Cartesian
0.000 0.000 2.768
0.000 0.000 6.424
1.953 1.953 4.557
1.953 1.953 0.849
```

Values from the calculation:
- Energy above the most stable polymorph in this dataset: 0.000 eV/f.u.
- Raw total energy: -3.7207 eV/atom
- Symmetry: No. 99


A plane-wave DFT calculation with GGA-PBE was carried out for Ac3Ga3Ag8 after structural relaxation.

```
Ac3Ga3Ag8
1.0
4.611 0.000 1.216
1.505 8.002 3.643
0.153 -0.046 8.769
Ag Ga Ac
8 3 3
Cartesian
4.615 7.768 10.549
2.867 2.483 7.830
4.745 3.299 10.059
3.402 5.472 5.798
5.355 6.669 7.745
1.654 0.187 3.079
0.914 1.287 5.883
1.525 4.657 3.569
2.020 2.481 1.689
0.829 3.978 6.206
4.249 5.474 11.938
2.540 5.587 9.069
0.000 0.000 0.000
3.729 2.368 4.559
```

Values from the calculation:
- Raw total energy: -3.4569 eV/atom
- Symmetry: No. 12


A plane-wave DFT calculation with GGA-PBE was carried out for Zr3Si after structural relaxation.

```
Zr3Si
1.0
-2.755 1.209 0.762
-0.095 -1.807 2.521
3.947 6.128 4.544
Zr Si
3 1
Cartesian
1.973 3.064 2.272
-0.573 1.023 2.622
1.670 4.506 5.205
0.000 0.000 0.000
```

Values from the calculation:
- Raw total energy: -7.9780 eV/atom
- Raw formation energy: -0.21 eV per atom
- Symmetry: No. 123


A plane-wave DFT calculation with GGA-PBE was carried out for CaTm2In2 after structural relaxation.

```
CaTm2In2
1.0
5.295 -0.025 -0.012
2.647 5.807 1.121
2.674 1.817 9.395
Tm In Ca
4 4 2
Cartesian
3.976 2.335 3.695
9.286 6.136 8.947
1.331 1.463 1.557
6.640 5.264 6.809
6.654 3.367 9.291
3.994 5.375 5.159
3.963 4.232 1.213
6.623 2.224 5.345
6.625 4.790 3.181
3.991 2.809 7.323
```

Values from the calculation:
- Energy above the most stable polymorph in this dataset: 0.033 eV/f.u.
- Raw total energy: -3.6230 eV/atom
- Symmetry: No. 12


A plane-wave DFT calculation with GGA-PBE was carried out for Tl3VRh after structural relaxation.

```
Tl3VRh
1.0
-2.584 -2.700 3.571
-1.968 -3.018 -3.706
4.021 -3.212 0.480
Tl V Rh
3 1 1
Cartesian
-0.984 -1.509 -1.853
2.010 -1.606 0.240
-1.292 -1.350 1.785
0.000 0.000 0.000
-0.266 -4.465 0.173
```

Values from the calculation:
- Energy above the most stable polymorph in this dataset: 2.098 eV/f.u.
- Raw total energy: -3.6085 eV/atom
- Symmetry: No. 221


A plane-wave DFT calculation with GGA-PBE was carried out for Pm3ErH after structural relaxation.

```
Pm3ErH
1.0
5.095 0.000 0.000
0.000 5.095 0.000
0.000 0.000 5.095
Pm Er H
3 1 1
Cartesian
0.000 2.548 0.000
2.548 0.000 0.000
0.000 0.000 2.548
2.548 2.548 2.548
0.000 0.000 0.000
```

Values from the calculation:
- Raw total energy: -4.6003 eV/atom
- Symmetry: No. 221


A plane-wave DFT calculation with GGA-PBE was carried out for Zn2SbTe after structural relaxation.

```
Zn2SbTe
1.0
-1.963 0.253 -2.660
-2.733 -1.600 1.865
-2.309 6.673 2.340
Sb Zn Te
1 2 1
Cartesian
-2.925 0.995 0.187
-1.151 3.325 1.166
-0.004 0.011 0.004
-4.080 4.331 1.357
```

Values from the calculation:
- Raw total energy: -2.2452 eV/atom
- Raw formation energy: 0.21 eV per atom
- Symmetry: No. 47


A plane-wave DFT calculation with GGA-PBE was carried out for SrSmCuO4 after structural relaxation.

```
SrSmCuO4
1.0
-0.248 -1.397 -3.560
3.572 1.189 -0.715
0.536 -5.315 4.110
O Cu Sr Sm
4 1 1 1
Cartesian
3.942 -4.719 1.576
0.776 -1.913 0.696
3.143 -3.754 -0.809
2.031 -6.012 0.154
0.006 -0.014 0.005
2.286 -1.641 -1.578
1.595 -3.933 1.431
```

Values from the calculation:
- Raw total energy: -6.5357 eV/atom
- Raw formation energy: -2.20 eV per atom
- Symmetry: No. 107


A plane-wave DFT calculation with GGA-PBE was carried out for CaAl2Zn6 after structural relaxation.

```
CaAl2Zn6
1.0
7.264 0.000 4.194
2.421 6.848 4.194
0.000 0.000 8.387
Al Zn Ca
4 12 2
Cartesian
4.842 0.856 4.194
1.211 0.856 2.097
1.211 0.856 6.291
2.421 4.280 4.194
7.314 5.172 8.387
4.792 3.389 4.194
0.050 0.035 4.194
6.078 1.677 10.528
2.371 1.677 8.387
1.236 3.389 6.247
3.607 0.035 2.140
3.607 5.172 10.528
3.607 5.172 6.247
6.078 1.677 6.247
3.607 0.035 6.247
1.236 3.389 2.140
4.842 3.424 8.387
7.264 5.136 12.581
```

Values from the calculation:
- Energy above the most stable polymorph in this dataset: 3.426 eV/f.u.
- Raw total energy: -1.5752 eV/atom
- Symmetry: No. 227